Record 1
This record from Alexandria via LeMat-Bulk describes a relaxed structure of CsTl2SiF6. The functional is GGA-PBE.

a b c (Å): 6.8666 7.3959 8.8535
angles (deg): 90.00 90.00 90.00
Positions (direct):
1 Cs 0.0000 0.6675 0.5000
2 Cs 0.5000 0.3325 0.0000
3 Tl 0.5000 0.8160 0.1960
4 Tl 0.0000 0.1840 0.6960
5 Tl 0.5000 0.8160 0.8040
6 Tl 0.0000 0.1840 0.3040
7 Si 0.5000 0.1836 0.5000
8 Si 0.0000 0.8164 0.0000
9 F 0.5000 0.1814 0.3042
10 F 0.5000 0.1814 0.6958
11 F 0.0000 0.8186 0.1958
12 F 0.0000 0.8186 0.8042
13 F 0.3243 0.0167 0.5000
14 F 0.6757 0.0167 0.5000
15 F 0.3218 0.3469 0.5000
16 F 0.6782 0.3469 0.5000
17 F 0.8218 0.6531 0.0000
18 F 0.1782 0.6531 0.0000
19 F 0.1757 0.9833 0.0000
20 F 0.8243 0.9833 0.0000

Output
VASP energy in eV per atom: -4.654
Total magnetic moment in μB/f.u.: 0.74
Formation energy from raw total energies in eV/atom: -2.430

Record 2
This record from Alexandria via LeMat-Bulk describes a relaxed structure of Cs2YSiF6. The functional is GGA-PBE.

a b c (Å): 6.1708 6.1708 7.3711
angles (deg): 65.25 65.25 90.00
Positions (direct):
1 Cs 0.7500 0.2500 0.5000
2 Cs 0.2500 0.7500 0.5000
3 Y 0.0000 0.0000 0.0000
4 Si 0.5000 0.5000 0.0000
5 F 0.1831 0.1831 0.6338
6 F 0.8169 0.8169 0.3662
7 F 0.2521 0.2521 0.0000
8 F 0.7479 0.7479 0.0000
9 F 0.7479 0.2521 0.0000
10 F 0.2521 0.7479 0.0000

Output
VASP energy in eV per atom: -5.324
Total magnetic moment in μB/f.u.: 1.00
Formation energy from raw total energies in eV/atom: -2.842

Record 3
This record from Alexandria via LeMat-Bulk describes a relaxed structure of Cs2ZnSiF6. The functional is GGA-PBE.

a b c (Å): 6.1944 6.1944 6.1992
angles (deg): 60.03 60.03 90.00
Positions (direct):
1 Cs 0.7500 0.2500 0.5000
2 Cs 0.2500 0.7500 0.5000
3 Zn 0.0000 0.0000 0.0000
4 Si 0.5000 0.5000 0.0000
5 F 0.2432 0.2432 0.5135
6 F 0.7568 0.7568 0.4865
7 F 0.2439 0.2439 0.0000
8 F 0.7561 0.7561 0.0000
9 F 0.7561 0.2439 0.0000
10 F 0.2439 0.7561 0.0000

Output
VASP energy in eV per atom: -4.300
Total magnetic moment in μB/f.u.: 0.00
Formation energy from raw total energies in eV/atom: -2.336

Which of these has the highest formation energy from raw total energies?
Cs2ZnSiF6

Which of these has the highest total magnetic moment?
Cs2YSiF6

Among the records above, which one has the lowest VASP energy?
Cs2YSiF6